This record from Alexandria via LeMat-Bulk describes a relaxed structure of ScAl2Sb. The functional is PBE.

Formation energy without anion corrections: -0.3296 eV per atom
Density of states at the Fermi level: 2.03 states/eV/cell

Lattice parameters (Å, degrees): 5.591 5.591 4.064 70.84 70.84 42.33
Atoms (fractional coordinates):
Sc 0.250 0.250 0.250
Sb 0.750 0.750 0.750
Al 0.000 0.000 0.005
Al 0.500 0.500 0.495